[1]
This record from the Alexandria database describes a relaxed structure of SrAgIr2. The functional is GGA-PBE.

a b c (Å): 3.1887 4.7817 9.5704
angles (deg): 90.00 90.00 90.00
Space group Cmmm (No. 65)
Unique sites:
Sr1 0.0000 0.0000 0.0000 [2 per cell]
Ag1 0.0000 0.0000 0.5000 [2 per cell]
Ir1 0.0000 0.5000 0.2586 [4 per cell]

Output
Spin magnetization ... 0.00 μB per cell
Uncorrected energy ... -0.18150 hartree per atom
Calculated density ... 13.20 g/cm3
Polymorph energy (0 for the lowest one) ... 435 meV per atom

[2]
This record from the Alexandria database describes a relaxed structure of KPOsAu. The functional is GGA-PBE.

a b c (Å): 3.9342 3.9342 12.1171
angles (deg): 90.00 90.00 90.00
Space group P4/nmm (No. 129, origin choice 2)
Unique sites:
K1 0.2500 0.2500 0.2361 [2 per cell]
P1 0.2500 0.2500 0.6076 [2 per cell]
Os1 0.2500 0.7500 0.5000 [2 per cell]
Au1 0.2500 0.7500 0.0000 [2 per cell]

Output
Spin magnetization ... 0.00 μB per cell
Uncorrected energy ... -0.20496 hartree per atom
Calculated density ... 8.10 g/cm3